A) TaBe2Cu | PBE | relaxed

Lattice parameters (Å, degrees): 5.6975 5.6975 5.6975 90.00 90.00 90.00
Space group Fm-3m (No. 225)
Symmetry-distinct sites (fractional):
Ta 0.0000 0.0000 0.0000 [4 per cell]
Be 0.2500 0.2500 0.2500 [8 per cell]
Cu 0.0000 0.0000 0.5000 [4 per cell]

---

B) TaBe2Cu | PBE | relaxed

Lattice parameters (Å, degrees): 7.6254 2.7817 4.6978 90.00 104.70 90.00
Space group Cm (No. 8)
Symmetry-distinct sites (fractional):
Ta 0.0000 0.0000 0.0000 [2 per cell]
Be 0.2650 0.5000 0.3108 [2 per cell]
Be 0.4865 0.0000 0.4681 [2 per cell]
Cu 0.2239 0.0000 0.6563 [2 per cell]

---

C) TaBe2Cu | PBE | relaxed

Lattice parameters (Å, degrees): 3.6383 3.6383 12.1318 90.00 90.00 120.00
Space group R-3m (No. 166, hexagonal axes)
Symmetry-distinct sites (fractional):
Ta 0.0000 0.0000 0.0000 [3 per cell]
Be 0.0000 0.0000 0.2110 [6 per cell]
Cu 0.0000 0.0000 0.5000 [3 per cell]

---

Which one sits at the bottom of the stability order? B) does.

---

A) Ta4BeCu | PBE | relaxed

Lattice parameters (Å, degrees): 7.5914 7.5914 7.5914 90.00 90.00 90.00
Space group F-43m (No. 216)
Symmetry-distinct sites (fractional):
Ta 0.1245 0.1245 0.1245 [16 per cell]
Be 0.2500 0.2500 0.7500 [4 per cell]
Cu 0.0000 0.0000 0.5000 [4 per cell]

---

B) Ta4BeCu | PBE | relaxed

Lattice parameters (Å, degrees): 6.1771 6.1771 4.8840 90.00 90.00 90.00
Space group P4/mcc (No. 124)
Symmetry-distinct sites (fractional):
Ta 0.1460 0.3289 0.0000 [8 per cell]
Be 0.0000 0.0000 0.2500 [2 per cell]
Cu 0.5000 0.5000 0.2500 [2 per cell]

---

Which one sits at the bottom of the stability order? A) does.